Record 1
VASP calculation (PBE) on an optimized crystal structure of NaReNO.

Energy relative to the lowest polymorph listed for this composition (meV/atom): 1080
Raw total energy (eV per atom): -6.268
SG: No. 129

a b c (Å): 3.218 3.218 7.928
angles (deg): 90.00 90.00 90.00
Fractional coordinates of all 8 atoms:
Na: 0.250 0.750 0.000
Na: 0.750 0.250 0.000
Re: 0.250 0.250 0.336
Re: 0.750 0.750 0.664
N: 0.250 0.250 0.778
N: 0.750 0.750 0.222
O: 0.250 0.750 0.500
O: 0.750 0.250 0.500



Record 2
VASP calculation (PBE) on an optimized crystal structure of Tb2Zn.

ΔH_f (0 K) (meV per atom): 472
Raw total energy (eV per atom): -3.036
SG: No. 227

a b c (Å): 6.206 6.206 6.206
angles (deg): 60.00 60.00 60.00
Fractional coordinates of all 6 atoms:
Tb: 0.000 0.000 0.000
Tb: 0.000 0.000 0.500
Tb: 0.000 0.500 0.000
Tb: 0.500 0.000 0.000
Zn: 0.375 0.375 0.375
Zn: 0.625 0.625 0.625



Record 3
VASP calculation (PBE) on an optimized crystal structure of CsLaZnTe3.

Raw total energy (eV per atom): -3.913
SG: No. 63

a b c (Å): 8.867 8.867 12.187
angles (deg): 90.00 90.00 150.08
Fractional coordinates of all 12 atoms:
Cs: 0.246 0.754 0.750
Cs: 0.754 0.246 0.250
La: 0.500 0.500 0.000
La: 0.500 0.500 0.500
Zn: 0.036 0.964 0.250
Zn: 0.964 0.036 0.750
Te: 0.123 0.877 0.068
Te: 0.123 0.877 0.432
Te: 0.439 0.561 0.250
Te: 0.561 0.439 0.750
Te: 0.877 0.123 0.568
Te: 0.877 0.123 0.932



Record 4
VASP calculation (PBE) on an optimized crystal structure of PaNbPO.

Energy relative to the lowest polymorph listed for this composition (meV/atom): 1172
Raw total energy (eV per atom): -7.724
SG: No. 129

a b c (Å): 4.188 4.188 7.502
angles (deg): 90.00 90.00 90.00
Fractional coordinates of all 8 atoms:
Pa: 0.250 0.750 0.000
Pa: 0.750 0.250 0.000
Nb: 0.250 0.250 0.394
Nb: 0.750 0.750 0.606
P: 0.250 0.250 0.742
P: 0.750 0.750 0.258
O: 0.250 0.750 0.500
O: 0.750 0.250 0.500



Record 5
VASP calculation (PBE) on an optimized crystal structure of RbTaBePt.

Energy relative to the lowest polymorph listed for this composition (meV/atom): 497
Raw total energy (eV per atom): -4.191
SG: No. 216

a b c (Å): 6.598 6.598 6.598
angles (deg): 90.00 90.00 90.00
Fractional coordinates of all 16 atoms:
Rb: 0.000 0.000 0.000
Rb: 0.000 0.500 0.500
Rb: 0.500 0.000 0.500
Rb: 0.500 0.500 0.000
Ta: 0.250 0.250 0.250
Ta: 0.250 0.750 0.750
Ta: 0.750 0.250 0.750
Ta: 0.750 0.750 0.250
Be: 0.000 0.000 0.500
Be: 0.000 0.500 0.000
Be: 0.500 0.000 0.000
Be: 0.500 0.500 0.500
Pt: 0.250 0.250 0.750
Pt: 0.250 0.750 0.250
Pt: 0.750 0.250 0.250
Pt: 0.750 0.750 0.750



Record 6
VASP calculation (PBE) on an optimized crystal structure of MgBeCoSn.

Energy relative to the lowest polymorph listed for this composition (meV/atom): 0
Raw total energy (eV per atom): -3.924
SG: No. 216

a b c (Å): 6.134 6.134 6.134
angles (deg): 90.00 90.00 90.00
Fractional coordinates of all 16 atoms:
Mg: 0.000 0.000 0.000
Mg: 0.000 0.500 0.500
Mg: 0.500 0.000 0.500
Mg: 0.500 0.500 0.000
Be: 0.250 0.250 0.750
Be: 0.250 0.750 0.250
Be: 0.750 0.250 0.250
Be: 0.750 0.750 0.750
Co: 0.250 0.250 0.250
Co: 0.250 0.750 0.750
Co: 0.750 0.250 0.750
Co: 0.750 0.750 0.250
Sn: 0.000 0.000 0.500
Sn: 0.000 0.500 0.000
Sn: 0.500 0.000 0.000
Sn: 0.500 0.500 0.500



Record 7
VASP calculation (PBE) on an optimized crystal structure of LaZrBeIr.

Energy relative to the lowest polymorph listed for this composition (meV/atom): 27
Raw total energy (eV per atom): -6.620
SG: No. 216

a b c (Å): 6.871 6.871 6.871
angles (deg): 90.00 90.00 90.00
Fractional coordinates of all 16 atoms:
La: 0.000 0.000 0.000
La: 0.000 0.500 0.500
La: 0.500 0.000 0.500
La: 0.500 0.500 0.000
Zr: 0.000 0.000 0.500
Zr: 0.000 0.500 0.000
Zr: 0.500 0.000 0.000
Zr: 0.500 0.500 0.500
Be: 0.250 0.250 0.750
Be: 0.250 0.750 0.250
Be: 0.750 0.250 0.250
Be: 0.750 0.750 0.750
Ir: 0.250 0.250 0.250
Ir: 0.250 0.750 0.750
Ir: 0.750 0.250 0.750
Ir: 0.750 0.750 0.250



Record 8
VASP calculation (PBE) on an optimized crystal structure of TaZnPO.

Raw total energy (eV per atom): -6.453
SG: No. 129

a b c (Å): 4.049 4.049 8.692
angles (deg): 90.00 90.00 90.00
Fractional coordinates of all 8 atoms:
Ta: 0.250 0.750 0.000
Ta: 0.750 0.250 0.000
Zn: 0.250 0.250 0.462
Zn: 0.750 0.750 0.538
P: 0.250 0.250 0.166
P: 0.750 0.750 0.834
O: 0.250 0.750 0.500
O: 0.750 0.250 0.500



Record 9
VASP calculation (PBE) on an optimized crystal structure of Li2GaPt.

Raw total energy (eV per atom): -3.890
SG: No. 119

a b c (Å): 4.278 4.278 6.019
angles (deg): 90.00 90.00 90.00
Fractional coordinates of all 8 atoms:
Li: 0.000 0.000 0.000
Li: 0.000 0.500 0.250
Li: 0.500 0.000 0.750
Li: 0.500 0.500 0.500
Ga: 0.000 0.500 0.750
Ga: 0.500 0.000 0.250
Pt: 0.000 0.000 0.500
Pt: 0.500 0.500 0.000



Record 10
VASP calculation (PBE) on an optimized crystal structure of TmSiB4.

Energy relative to the lowest polymorph listed for this composition (meV/atom): 94
Raw total energy (eV per atom): -6.118
SG: No. 191

a b c (Å): 3.087 3.087 7.268
angles (deg): 90.00 90.00 120.00
Fractional coordinates of all 6 atoms:
Tm: 0.000 0.000 0.000
Si: 0.000 0.000 0.500
B: 0.333 0.667 0.272
B: 0.333 0.667 0.728
B: 0.667 0.333 0.272
B: 0.667 0.333 0.728



Record 11
VASP calculation (PBE) on an optimized crystal structure of LuFeCoAs.

Energy relative to the lowest polymorph listed for this composition (meV/atom): 0
Raw total energy (eV per atom): -6.316
SG: No. 216

a b c (Å): 6.073 6.073 6.073
angles (deg): 90.00 90.00 90.00
Fractional coordinates of all 16 atoms:
Lu: 0.000 0.000 0.000
Lu: 0.000 0.500 0.500
Lu: 0.500 0.000 0.500
Lu: 0.500 0.500 0.000
Fe: 0.250 0.250 0.250
Fe: 0.250 0.750 0.750
Fe: 0.750 0.250 0.750
Fe: 0.750 0.750 0.250
Co: 0.250 0.250 0.750
Co: 0.250 0.750 0.250
Co: 0.750 0.250 0.250
Co: 0.750 0.750 0.750
As: 0.000 0.000 0.500
As: 0.000 0.500 0.000
As: 0.500 0.000 0.000
As: 0.500 0.500 0.500



Record 12
VASP calculation (PBE) on an optimized crystal structure of FeCoW.

ΔH_f (0 K) (meV per atom): 210
Energy relative to the lowest polymorph listed for this composition (meV/atom): 0
Raw total energy (eV per atom): -9.248
SG: No. 62

a b c (Å): 5.782 3.761 6.916
angles (deg): 90.00 90.00 90.00
Fractional coordinates of all 12 atoms:
Fe: 0.245 0.250 0.120
Fe: 0.255 0.750 0.620
Fe: 0.745 0.250 0.380
Fe: 0.755 0.750 0.880
Co: 0.137 0.250 0.440
Co: 0.363 0.750 0.940
Co: 0.637 0.250 0.060
Co: 0.863 0.750 0.560
W: 0.026 0.250 0.821
W: 0.474 0.750 0.321
W: 0.526 0.250 0.679
W: 0.974 0.750 0.179



Record 13
VASP calculation (PBE) on an optimized crystal structure of SrHoCu.

Raw total energy (eV per atom): -2.575
SG: No. 216

a b c (Å): 7.018 7.018 7.018
angles (deg): 90.00 90.00 90.00
Fractional coordinates of all 12 atoms:
Sr: 0.000 0.000 0.000
Sr: 0.000 0.500 0.500
Sr: 0.500 0.000 0.500
Sr: 0.500 0.500 0.000
Ho: 0.250 0.250 0.250
Ho: 0.250 0.750 0.750
Ho: 0.750 0.250 0.750
Ho: 0.750 0.750 0.250
Cu: 0.000 0.000 0.500
Cu: 0.000 0.500 0.000
Cu: 0.500 0.000 0.000
Cu: 0.500 0.500 0.500



Record 14
VASP calculation (PBE) on an optimized crystal structure of ZrTlAu3O4.

Raw total energy (eV per atom): -5.128
SG: No. 215

a b c (Å): 5.689 5.689 5.689
angles (deg): 90.00 90.00 90.00
Fractional coordinates of all 9 atoms:
Zr: 0.000 0.000 0.000
Tl: 0.500 0.500 0.500
Au: 0.000 0.000 0.500
Au: 0.000 0.500 0.000
Au: 0.500 0.000 0.000
O: 0.209 0.209 0.791
O: 0.209 0.791 0.209
O: 0.791 0.209 0.209
O: 0.791 0.791 0.791



Record 15
VASP calculation (PBE) on an optimized crystal structure of NbCoReB.

Energy relative to the lowest polymorph listed for this composition (meV/atom): 0
Raw total energy (eV per atom): -8.670
SG: No. 216

a b c (Å): 5.900 5.900 5.900
angles (deg): 90.00 90.00 90.00
Fractional coordinates of all 16 atoms:
Nb: 0.000 0.000 0.000
Nb: 0.000 0.500 0.500
Nb: 0.500 0.000 0.500
Nb: 0.500 0.500 0.000
Co: 0.250 0.250 0.750
Co: 0.250 0.750 0.250
Co: 0.750 0.250 0.250
Co: 0.750 0.750 0.750
Re: 0.250 0.250 0.250
Re: 0.250 0.750 0.750
Re: 0.750 0.250 0.750
Re: 0.750 0.750 0.250
B: 0.000 0.000 0.500
B: 0.000 0.500 0.000
B: 0.500 0.000 0.000
B: 0.500 0.500 0.500



Record 16
VASP calculation (PBE) on an optimized crystal structure of Cs2Tb2Al2O7.

Raw total energy (eV per atom): -6.587
SG: No. 44

a b c (Å): 7.328 7.328 7.328
angles (deg): 132.91 96.42 101.97
Fractional coordinates of all 13 atoms:
Cs: 0.000 0.000 0.000
Cs: 0.690 0.190 0.500
Tb: 0.236 0.434 0.802
Tb: 0.632 0.434 0.198
Al: 0.094 0.755 0.339
Al: 0.416 0.755 0.661
O: 0.038 0.039 0.478
O: 0.038 0.560 0.999
O: 0.206 0.567 0.639
O: 0.352 0.852 0.500
O: 0.561 0.039 0.001
O: 0.561 0.560 0.522
O: 0.928 0.567 0.361



Record 17
VASP calculation (PBE) on an optimized crystal structure of Li4Zn2AgPd.

Raw total energy (eV per atom): -2.594
SG: No. 115

a b c (Å): 4.343 4.343 6.151
angles (deg): 90.00 90.00 90.00
Fractional coordinates of all 8 atoms:
Li: 0.000 0.000 0.000
Li: 0.000 0.500 0.244
Li: 0.500 0.000 0.756
Li: 0.500 0.500 0.500
Zn: 0.000 0.500 0.763
Zn: 0.500 0.000 0.237
Ag: 0.000 0.000 0.500
Pd: 0.500 0.500 0.000



Record 18
VASP calculation (PBE) on an optimized crystal structure of CoSi64.

Energy relative to the lowest polymorph listed for this composition (meV/atom): 0
Raw total energy (eV per atom): -5.433
SG: No. 215

a b c (Å): 10.926 10.926 10.926
angles (deg): 90.00 90.00 90.00
Fractional coordinates of all 65 atoms:
Co: 0.000 0.000 0.000
Si: 0.000 0.000 0.249
Si: 0.000 0.000 0.751
Si: 0.000 0.249 0.000
Si: 0.000 0.249 0.500
Si: 0.000 0.500 0.249
Si: 0.000 0.500 0.751
Si: 0.000 0.751 0.000
Si: 0.000 0.751 0.500
Si: 0.125 0.125 0.374
Si: 0.125 0.374 0.125
Si: 0.125 0.375 0.625
Si: 0.125 0.625 0.375
Si: 0.125 0.626 0.875
Si: 0.125 0.875 0.626
Si: 0.127 0.127 0.873
Si: 0.127 0.873 0.127
Si: 0.249 0.000 0.000
Si: 0.249 0.000 0.500
Si: 0.249 0.500 0.000
Si: 0.250 0.250 0.250
Si: 0.250 0.500 0.500
Si: 0.250 0.750 0.750
Si: 0.251 0.251 0.749
Si: 0.251 0.749 0.251
Si: 0.374 0.125 0.125
Si: 0.374 0.875 0.875
Si: 0.375 0.125 0.625
Si: 0.375 0.375 0.375
Si: 0.375 0.375 0.875
Si: 0.375 0.625 0.125
Si: 0.375 0.625 0.625
Si: 0.375 0.875 0.375
Si: 0.500 0.000 0.249
Si: 0.500 0.000 0.751
Si: 0.500 0.249 0.000
Si: 0.500 0.250 0.500
Si: 0.500 0.500 0.250
Si: 0.500 0.500 0.750
Si: 0.500 0.750 0.500
Si: 0.500 0.751 0.000
Si: 0.625 0.125 0.375
Si: 0.625 0.375 0.125
Si: 0.625 0.375 0.625
Si: 0.625 0.625 0.375
Si: 0.625 0.625 0.875
Si: 0.625 0.875 0.625
Si: 0.626 0.125 0.875
Si: 0.626 0.875 0.125
Si: 0.749 0.251 0.251
Si: 0.749 0.749 0.749
Si: 0.750 0.250 0.750
Si: 0.750 0.500 0.500
Si: 0.750 0.750 0.250
Si: 0.751 0.000 0.000
Si: 0.751 0.000 0.500
Si: 0.751 0.500 0.000
Si: 0.873 0.127 0.127
Si: 0.873 0.873 0.873
Si: 0.875 0.125 0.626
Si: 0.875 0.374 0.875
Si: 0.875 0.375 0.375
Si: 0.875 0.625 0.625
Si: 0.875 0.626 0.125
Si: 0.875 0.875 0.374



Record 19
VASP calculation (PBE) on an optimized crystal structure of HoErPO.

Energy relative to the lowest polymorph listed for this composition (meV/atom): 6
Raw total energy (eV per atom): -6.895
SG: No. 26

a b c (Å): 4.104 7.489 5.577
angles (deg): 90.00 90.00 90.00
Fractional coordinates of all 8 atoms:
Ho: 0.000 0.124 0.000
Ho: 0.000 0.876 0.500
Er: 0.500 0.295 0.448
Er: 0.500 0.705 0.948
P: 0.500 0.343 0.944
P: 0.500 0.657 0.444
O: 0.000 0.173 0.398
O: 0.000 0.827 0.898



Record 20
VASP calculation (PBE) on an optimized crystal structure of Hg2Ge.

Energy relative to the lowest polymorph listed for this composition (meV/atom): 258
Raw total energy (eV per atom): -1.308
SG: No. 227

a b c (Å): 5.912 5.912 5.912
angles (deg): 60.00 60.00 60.00
Fractional coordinates of all 6 atoms:
Hg: 0.000 0.000 0.000
Hg: 0.000 0.000 0.500
Hg: 0.000 0.500 0.000
Hg: 0.500 0.000 0.000
Ge: 0.375 0.375 0.375
Ge: 0.625 0.625 0.625



Record 21
VASP calculation (PBE) on an optimized crystal structure of PdF4.

Energy relative to the lowest polymorph listed for this composition (meV/atom): 63
Raw total energy (eV per atom): -3.513
SG: No. 139

a b c (Å): 3.964 3.964 7.292
angles (deg): 90.00 90.00 90.00
Fractional coordinates of all 10 atoms:
Pd: 0.000 0.000 0.000
Pd: 0.500 0.500 0.500
F: 0.000 0.000 0.259
F: 0.000 0.000 0.741
F: 0.000 0.500 0.000
F: 0.000 0.500 0.500
F: 0.500 0.000 0.000
F: 0.500 0.000 0.500
F: 0.500 0.500 0.241
F: 0.500 0.500 0.759



Record 22
VASP calculation (PBE) on an optimized crystal structure of LaTmMg6.

Raw total energy (eV per atom): -2.418
SG: No. 25

a b c (Å): 5.216 7.447 5.216
angles (deg): 90.00 90.00 90.00
Fractional coordinates of all 8 atoms:
La: 0.000 0.000 0.000
Tm: 0.500 0.500 0.492
Mg: 0.000 0.261 0.501
Mg: 0.000 0.500 0.000
Mg: 0.000 0.739 0.501
Mg: 0.500 0.000 0.495
Mg: 0.500 0.261 0.992
Mg: 0.500 0.739 0.992